Entry from Alexandria: a geometry-optimized TbTm6Co2 structure (PBE).

Unit cell a=8.390 b=8.390 c=8.390 alpha=107.07 beta=109.57 gamma=111.80
Atoms (fractional coordinates):
Co: 0.313 0.000 0.313
Tm: 0.528 0.714 0.814
Tm: 0.314 0.996 0.681
Tm: 0.784 0.758 0.542
Co: 0.500 0.386 0.886
Tb: 0.000 0.000 0.000
Tm: 0.900 0.714 0.186
Tm: 0.686 0.367 0.681
Tm: 0.314 0.633 0.319
Tm: 0.216 0.758 0.974
Tm: 0.216 0.242 0.458
Tm: 0.784 0.242 0.026
Co: 0.687 0.000 0.687
Tb: 0.000 0.500 0.500
Tm: 0.686 0.004 0.319
Tm: 0.100 0.286 0.814
Tm: 0.472 0.286 0.186
Co: 0.500 0.614 0.114

## Properties
Its raw total energy is -92.9 eV for the cell shown. Its density of states at the Fermi level is 20.3 states/eV per cell. As for the space-group type: Immm. The spin magnetization is 0.0000 μB/atom.